Entry 1:
First-principles (PBE-GGA) data for RbSnI2 after structural relaxation, as listed in the Alexandria database.

## Properties
excess energy over the best structure of this formula in the dataset: 0.090 eV/atom
uncorrected formation energy: -438 meV per atom
volume: 56.4 A^3/atom
space-group type: R-3m, No. 166

```
RbSnI2
1.0
-4.1965 2.3602 -1.3584
-3.5044 -2.4329 -2.6128
-7.1148 -3.0034 7.5499
I Sn Rb
2 1 1
direct
0.1153 0.1153 0.6541 I
0.8847 0.8847 0.3459 I
0.5000 0.5000 0.5000 Sn
0.0000 0.0000 0.0000 Rb
```

Entry 2:
First-principles (PBE-GGA) data for RbSnI3 after structural relaxation, as listed in the Alexandria database.

## Properties
uncorrected formation energy: -835 meV per atom
volume: 53.6 A^3/atom
space-group type: Fd-3m, No. 227

```
RbSnI3
1.0
0.0000 8.1235 8.1235
8.1235 0.0000 8.1235
8.1235 8.1235 0.0000
I Sn Rb
12 4 4
direct
0.7129 0.2871 0.2871 I
0.9629 0.5371 0.5371 I
0.5371 0.5371 0.9629 I
0.5371 0.9629 0.9629 I
0.9629 0.5371 0.9629 I
0.7129 0.2871 0.7129 I
0.5371 0.9629 0.5371 I
0.9629 0.9629 0.5371 I
0.2871 0.7129 0.2871 I
0.2871 0.7129 0.7129 I
0.2871 0.2871 0.7129 I
0.7129 0.7129 0.2871 I
0.6250 0.6250 0.6250 Sn
0.6250 0.1250 0.6250 Sn
0.1250 0.6250 0.6250 Sn
0.6250 0.6250 0.1250 Sn
0.1250 0.1250 0.1250 Rb
0.1250 0.6250 0.1250 Rb
0.6250 0.1250 0.1250 Rb
0.1250 0.1250 0.6250 Rb
```

Entry 3:
First-principles (PBE-GGA) data for RbSnI3 after structural relaxation, as listed in the Alexandria database.

## Properties
uncorrected formation energy: -869 meV per atom
volume: 52.5 A^3/atom
space-group type: Pnma, No. 62

```
RbSnI3
1.0
9.9689 0.0000 0.0000
0.0000 11.7501 0.0000
0.0000 0.0000 8.9617
I Sn Rb
12 4 4
direct
0.1588 0.9293 0.8599 I
0.3412 0.4293 0.3599 I
0.3412 0.0707 0.3599 I
0.8412 0.4293 0.1401 I
0.8412 0.0707 0.1401 I
0.6588 0.5707 0.6401 I
0.6588 0.9293 0.6401 I
0.1588 0.5707 0.8599 I
0.3608 0.2500 0.7846 I
0.1392 0.7500 0.2846 I
0.6392 0.7500 0.2154 I
0.8608 0.2500 0.7154 I
0.5046 0.2500 0.5001 Sn
0.9954 0.7500 0.0001 Sn
0.4954 0.7500 0.4999 Sn
0.0046 0.2500 0.9999 Sn
0.0000 0.0000 0.5000 Rb
0.5000 0.5000 0.0000 Rb
0.5000 0.0000 0.0000 Rb
0.0000 0.5000 0.5000 Rb
```

Entry 4:
First-principles (PBE-GGA) data for RbSnI3 after structural relaxation, as listed in the Alexandria database.

## Properties
uncorrected formation energy: -848 meV per atom
volume: 77.0 A^3/atom
space-group type: R3m, No. 160

```
RbSnI3
1.0
5.4504 0.0000 4.9912
-2.7252 4.7202 4.9912
-2.7252 -4.7202 4.9912
I Sn Rb
3 1 1
direct
0.6412 0.0935 0.6412 I
0.0935 0.6412 0.6412 I
0.6412 0.6412 0.0935 I
0.8951 0.8951 0.8951 Sn
0.6040 0.6040 0.6040 Rb
```

Entry 5:
First-principles (PBE-GGA) data for RbSnI3 after structural relaxation, as listed in the Alexandria database.

## Properties
uncorrected formation energy: -896 meV per atom
volume: 51.1 A^3/atom
space-group type: R-3, No. 148

```
RbSnI3
1.0
4.9335 0.0000 8.0880
-2.4668 4.2726 8.0880
-2.4668 -4.2726 8.0880
I Sn Rb
6 2 2
direct
0.4767 0.0618 0.6948 I
0.0618 0.6948 0.4767 I
0.3052 0.5233 0.9382 I
0.9382 0.3052 0.5233 I
0.5233 0.9382 0.3052 I
0.6948 0.4767 0.0618 I
0.3314 0.3314 0.3314 Sn
0.6686 0.6686 0.6686 Sn
0.1384 0.1384 0.1384 Rb
0.8616 0.8616 0.8616 Rb
```

Entry 6:
First-principles (PBE-GGA) data for Rb2SnI5 after structural relaxation, as listed in the Alexandria database.

## Properties
excess energy over the best structure of this formula in the dataset: 0.026 eV/atom
uncorrected formation energy: -900 meV per atom
volume: 51.9 A^3/atom
space-group type: I4mm, No. 107

```
Rb2SnI5
1.0
8.8699 -0.0001 -0.0002
0.0001 8.8699 -0.0002
-4.4350 -4.4349 5.2779
Rb Sn I
2 1 5
direct
0.2564 0.7564 0.5128 Rb
0.7564 0.2564 0.5128 Rb
0.9801 0.9801 0.9601 Sn
0.7793 0.2555 0.0348 I
0.2555 0.2555 0.0348 I
0.7793 0.7793 0.0348 I
0.2555 0.7793 0.0348 I
0.7146 0.7146 0.4292 I
```

Entry 7:
First-principles (PBE-GGA) data for Rb3Sn2I8 after structural relaxation, as listed in the Alexandria database.

## Properties
uncorrected formation energy: -850 meV per atom
volume: 55.5 A^3/atom
space-group type: R-3m, No. 166

```
Rb3Sn2I8
1.0
-8.4064 3.1802 0.8782
-5.2080 -2.8267 6.8146
-1.0470 7.7367 8.3928
Rb Sn I
3 2 8
direct
0.0000 0.0000 0.0000 Rb
0.7986 0.7986 0.6041 Rb
0.2014 0.2014 0.3959 Rb
0.5865 0.5865 0.2404 Sn
0.4135 0.4135 0.7596 Sn
0.6808 0.6808 0.9576 I
0.3192 0.3192 0.0424 I
0.1919 0.7508 0.3065 I
0.7508 0.1919 0.3065 I
0.7508 0.7508 0.3065 I
0.2492 0.8081 0.6935 I
0.8081 0.2492 0.6935 I
0.2492 0.2492 0.6935 I
```

Entry 8:
First-principles (PBE-GGA) data for RbSnI3 after structural relaxation, as listed in the Alexandria database.

## Properties
uncorrected formation energy: -663 meV per atom
volume: 52.8 A^3/atom
space-group type: P6_3/mmc, No. 194

```
RbSnI3
1.0
4.9025 -2.8305 0.0000
0.0000 5.6609 0.0000
0.0000 0.0000 19.0280
I Sn Rb
6 2 2
direct
0.0000 0.0000 0.2500 I
0.0000 0.0000 0.7500 I
0.3333 0.6667 0.9443 I
0.3333 0.6667 0.5557 I
0.6667 0.3333 0.4443 I
0.6667 0.3333 0.0557 I
0.0000 0.0000 0.0000 Sn
0.0000 0.0000 0.5000 Sn
0.3333 0.6667 0.7500 Rb
0.6667 0.3333 0.2500 Rb
```

Q: The lowest volume belongs to which entry?
A: number 5

Q: The lowest uncorrected formation energy belongs to which entry?
A: Rb2SnI5

What did the third record say?
First-principles (PBE-GGA) data for RbSnI3 after structural relaxation, as listed in the Alexandria database.

## Properties
uncorrected formation energy: -869 meV per atom
volume: 52.5 A^3/atom
space-group type: Pnma, No. 62

```
RbSnI3
1.0
9.9689 0.0000 0.0000
0.0000 11.7501 0.0000
0.0000 0.0000 8.9617
I Sn Rb
12 4 4
direct
0.1588 0.9293 0.8599 I
0.3412 0.4293 0.3599 I
0.3412 0.0707 0.3599 I
0.8412 0.4293 0.1401 I
0.8412 0.0707 0.1401 I
0.6588 0.5707 0.6401 I
0.6588 0.9293 0.6401 I
0.1588 0.5707 0.8599 I
0.3608 0.2500 0.7846 I
0.1392 0.7500 0.2846 I
0.6392 0.7500 0.2154 I
0.8608 0.2500 0.7154 I
0.5046 0.2500 0.5001 Sn
0.9954 0.7500 0.0001 Sn
0.4954 0.7500 0.4999 Sn
0.0046 0.2500 0.9999 Sn
0.0000 0.0000 0.5000 Rb
0.5000 0.5000 0.0000 Rb
0.5000 0.0000 0.0000 Rb
0.0000 0.5000 0.5000 Rb
```

Q: Which of these has the lowest volume?
A: number 5